[1]
Entry from Alexandria: a PBEsol-optimized structure of ZnPRh2 (meta-GGA SCAN).

Cell: 2.822 2.822 23.734 Å, 90.00 90.00 120.00°
Fractional positions:
Zn: 0.000 0.000 0.000
Zn: 0.333 0.667 0.667
Zn: 0.667 0.333 0.333
P: 0.000 0.000 0.754
P: 0.333 0.667 0.421
P: 0.667 0.333 0.088
Rh: 0.000 0.000 0.251
Rh: 0.000 0.000 0.490
Rh: 0.333 0.667 0.157
Rh: 0.333 0.667 0.917
Rh: 0.667 0.333 0.584
Rh: 0.667 0.333 0.824

Computed properties:
offset from the most stable computed form: 0 meV per atom
symmetry: R3m
N(E_F): 2.6 states/eV/f.u.
ΔE_f: -0.125 eV/atom

[2]
Entry from Alexandria: a PBEsol-optimized structure of Zr2PRh (meta-GGA SCAN).

Cell: 3.711 3.711 5.410 Å, 90.00 90.00 90.00°
Fractional positions:
Zr: 0.000 0.000 0.000
Zr: 0.500 0.500 0.500
P: 0.000 0.000 0.500
Rh: 0.500 0.500 0.000

Computed properties:
symmetry: P4/mmm
N(E_F): 2.2 states/eV/f.u.
ΔE_f: -0.960 eV/atom

[3]
Entry from Alexandria: a PBEsol-optimized structure of Zr2PRh (meta-GGA SCAN).

Cell: 6.224 3.543 6.947 Å, 90.00 106.48 90.00°
Fractional positions:
Zr: 0.244 0.000 0.241
Zr: 0.256 0.500 0.759
Zr: 0.744 0.500 0.241
Zr: 0.756 0.000 0.759
P: 0.000 0.500 0.000
P: 0.500 0.000 0.000
Rh: 0.000 0.000 0.500
Rh: 0.500 0.500 0.500

Computed properties:
symmetry: C2/m
N(E_F): 2.5 states/eV/f.u.
ΔE_f: -0.979 eV/atom

no.,electronic total energy (eV per formula unit)
1,-91.96
2,-109.41
3,-109.49